A relaxed NaSm2Eu crystal. Source: Alexandria, functional PBE-GGA.

Lattice parameters (Å, degrees): 3.591 3.591 13.299 82.24 82.24 60.00
Site moments in Bohr magnetons follow the coordinates.
Fractional positions:
Eu  0.500  0.500  0.500  7.04
Na  0.000  0.000  0.000  0.00
Sm  0.089  0.089  0.732  0.10
Sm  0.911  0.911  0.268  0.10

Calculated values
uncorrected energy: -20.2 eV per cell
energy of formation from the pure elements: 0.22 eV/atom
space-group type: R-3m
size of the total moment: 8.0 μB per cell


A relaxed NaSmEu2 crystal. Source: Alexandria, functional PBE-GGA.

Lattice parameters (Å, degrees): 3.757 3.757 12.821 81.58 81.58 60.00
Site moments in Bohr magnetons follow the coordinates.
Fractional positions:
Eu  0.747  0.747  0.758  6.99
Eu  0.253  0.253  0.242  6.99
Na  0.500  0.500  0.500  0.00
Sm  0.000  0.000  0.000  0.07

Calculated values
uncorrected energy: -26.2 eV per cell
excess energy over the best structure of this formula in the dataset: 0.0 meV/atom
energy of formation from the pure elements: 0.09 eV/atom
space-group type: R-3m
size of the total moment: 15.0 μB per cell


A relaxed NaSmEu2 crystal. Source: Alexandria, functional PBE-GGA.

Lattice parameters (Å, degrees): 3.704 3.704 11.322 90.00 90.00 90.00
Site moments in Bohr magnetons follow the coordinates.
Fractional positions:
Eu  0.000  0.000  0.740  6.98
Eu  0.000  0.000  0.260  6.98
Na  0.500  0.500  0.000  0.01
Sm  0.500  0.500  0.500  0.10

Calculated values
uncorrected energy: -26.2 eV per cell
excess energy over the best structure of this formula in the dataset: 7.1 meV/atom
energy of formation from the pure elements: 0.09 eV/atom
space-group type: P4/mmm
size of the total moment: 15.0 μB per cell


A relaxed NaSmEu2 crystal. Source: Alexandria, functional PBE-GGA.

Lattice parameters (Å, degrees): 3.954 6.220 6.220 90.00 90.00 90.00
Site moments in Bohr magnetons follow the coordinates.
Fractional positions:
Eu  0.000  0.000  0.500  -6.92
Eu  0.000  0.500  0.000  -6.92
Na  0.500  0.000  0.000  0.00
Sm  0.500  0.500  0.500  -0.12

Calculated values
uncorrected energy: -26.0 eV per cell
excess energy over the best structure of this formula in the dataset: 71.0 meV/atom
energy of formation from the pure elements: 0.16 eV/atom
space-group type: P4/mmm
size of the total moment: 14.8 μB per cell


Asked for volume across the records above, the calculation gives 146.7, 154.4, 155.3, 153.0 Å³ per cell in order.